First-principles (PBE) data for a relaxed structure of BaInSi4, as listed in the Alexandria database.

Values from the calculation:
E_form (uncorrected)   0.150 eV/atom
Spin magnetization   0.000 μB/atom
Raw total energy   -4.242 eV/atom

Lattice parameters (Å, degrees): 8.182 8.182 8.182 90.00 90.00 90.00
Space group F-43m (No. 216)
Inequivalent atoms, fractional coordinates:
Ba (0.000, 0.000, 0.000) (multiplicity 4)
In (0.250, 0.250, 0.750) (multiplicity 4)
Si (0.108, 0.108, 0.392) (multiplicity 16)



First-principles (PBE) data for a relaxed structure of BaIn2Si, as listed in the Alexandria database.

Values from the calculation:
E_form (uncorrected)   -0.169 eV/atom
Spin magnetization   0.000 μB/atom
Raw total energy   -3.374 eV/atom

Lattice parameters (Å, degrees): 9.096 4.356 6.611 90.00 110.43 90.00
Space group Cm (No. 8)
Inequivalent atoms, fractional coordinates:
Ba (0.000, 0.000, 0.000) (multiplicity 2)
In (0.038, 0.500, 0.559) (multiplicity 2)
In (0.282, 0.500, 0.354) (multiplicity 2)
Si (0.255, 0.000, 0.652) (multiplicity 2)



First-principles (PBE) data for a relaxed structure of Ba2InSi, as listed in the Alexandria database.

Values from the calculation:
E_form (uncorrected)   -0.365 eV/atom
Spin magnetization   0.000 μB/atom
Raw total energy   -3.366 eV/atom

Lattice parameters (Å, degrees): 7.671 5.096 15.269 90.00 90.00 90.00
Space group Amm2 (No. 38)
Inequivalent atoms, fractional coordinates:
Ba (0.000, 0.000, 0.000) (multiplicity 2)
Ba (0.000, 0.000, 0.262) (multiplicity 2)
Ba (0.500, 0.000, 0.114) (multiplicity 2)
Ba (0.500, 0.000, 0.822) (multiplicity 2)
In (0.308, 0.000, 0.464) (multiplicity 4)
Si (0.162, 0.000, 0.634) (multiplicity 4)



First-principles (PBE) data for a relaxed structure of BaIn2Si, as listed in the Alexandria database.

Values from the calculation:
E_form (uncorrected)   -0.088 eV/atom
Spin magnetization   0.000 μB/atom
Raw total energy   -3.293 eV/atom

Lattice parameters (Å, degrees): 4.103 4.490 13.371 90.00 90.00 90.00
Space group Imm2 (No. 44)
Inequivalent atoms, fractional coordinates:
Ba (0.000, 0.000, 0.000) (multiplicity 2)
In (0.000, 0.000, 0.641) (multiplicity 2)
In (0.000, 0.500, 0.793) (multiplicity 2)
Si (0.000, 0.500, 0.288) (multiplicity 2)